No. 1
A plane-wave DFT calculation with PBE was carried out for a geometry-optimized SrMgGaNi structure.

abc: 4.3044 4.3044 17.7469
angles: 90.00 90.00 120.00
Space group R3m (No. 160, hexagonal axes)
Symmetry-distinct sites (fractional):
Sr1 0.0000 0.0000 0.0000 [3 per cell]
Mg1 0.0000 0.0000 0.1876 [3 per cell]
Ga1 0.0000 0.0000 0.7892 [3 per cell]
Ni1 0.0000 0.0000 0.4612 [3 per cell]

Computed properties:
Crystal system: trigonal
DOS(E_F) (states/eV per atom): 0.373

No. 2
A plane-wave DFT calculation with PBE was carried out for a geometry-optimized Sr2MgGaNi structure.

abc: 5.789 5.789 4.600
angles: 90.00 90.00 90.00
Space group P4/mmm (No. 123)
Symmetry-distinct sites (fractional):
Sr1 0.000 0.500 0.000 [2 per cell]
Mg1 0.000 0.000 0.500 [1 per cell]
Ga1 0.500 0.500 0.500 [1 per cell]
Ni1 0.500 0.500 0.000 [1 per cell]

Computed properties:
Energy above the most stable polymorph in this dataset (meV/atom): 0
Crystal system: tetragonal
DOS(E_F) (states/eV per atom): 0.677

No. 3
A plane-wave DFT calculation with PBE was carried out for a geometry-optimized SrMgGa2Ni structure.

abc: 4.707 4.707 4.843
angles: 90.00 90.00 90.00
Space group P4/mmm (No. 123)
Symmetry-distinct sites (fractional):
Sr1 0.000 0.000 0.000 [1 per cell]
Mg1 0.500 0.500 0.000 [1 per cell]
Ga1 0.000 0.500 0.500 [2 per cell]
Ni1 0.500 0.500 0.500 [1 per cell]

Computed properties:
Crystal system: tetragonal
DOS(E_F) (states/eV per atom): 0.575

No. 4
A plane-wave DFT calculation with PBE was carried out for a geometry-optimized SrMg2GaNi structure.

abc: 4.937 4.937 4.716
angles: 90.00 90.00 90.00
Space group P4/mmm (No. 123)
Symmetry-distinct sites (fractional):
Sr1 0.000 0.000 0.000 [1 per cell]
Mg1 0.000 0.500 0.500 [2 per cell]
Ga1 0.500 0.500 0.000 [1 per cell]
Ni1 0.500 0.500 0.500 [1 per cell]

Computed properties:
Crystal system: tetragonal
DOS(E_F) (states/eV per atom): 0.805

No. 5
A plane-wave DFT calculation with PBE was carried out for a geometry-optimized MgTaGa2Ni structure.

abc: 4.450 4.450 4.491
angles: 90.00 90.00 90.00
Space group P4/mmm (No. 123)
Symmetry-distinct sites (fractional):
Mg1 0.000 0.000 0.000 [1 per cell]
Ta1 0.500 0.500 0.000 [1 per cell]
Ga1 0.000 0.500 0.500 [2 per cell]
Ni1 0.000 0.000 0.500 [1 per cell]

Computed properties:
Crystal system: tetragonal
DOS(E_F) (states/eV per atom): 0.669

No. 6
A plane-wave DFT calculation with PBE was carried out for a geometry-optimized TbMgGa2Ni2 structure.

abc: 4.2305 4.2305 6.5700
angles: 90.00 90.00 120.00
Space group P-3m1 (No. 164)
Symmetry-distinct sites (fractional):
Tb1 0.0000 0.0000 0.0000 [1 per cell]
Mg1 0.0000 0.0000 0.5000 [1 per cell]
Ga1 0.3333 0.6667 0.2890 [2 per cell]
Ni1 0.3333 0.6667 0.6968 [2 per cell]

Computed properties:
Crystal system: trigonal
DOS(E_F) (states/eV per atom): 0.733

No. 7
A plane-wave DFT calculation with PBE was carried out for a geometry-optimized Tb2MgGa4Ni3 structure.

abc: 4.049 4.049 10.700
angles: 90.00 90.00 90.00
Space group P-4m2 (No. 115)
Symmetry-distinct sites (fractional):
Tb1 0.000 0.500 0.229 [2 per cell]
Mg1 0.000 0.000 0.500 [1 per cell]
Ga1 0.000 0.000 0.000 [1 per cell]
Ga2 0.000 0.500 0.654 [2 per cell]
Ga3 0.500 0.500 0.000 [1 per cell]
Ni1 0.000 0.500 0.873 [2 per cell]
Ni2 0.500 0.500 0.500 [1 per cell]

Computed properties:
Crystal system: tetragonal
DOS(E_F) (states/eV per atom): 0.551

No. 8
A plane-wave DFT calculation with PBE was carried out for a geometry-optimized ThMg2Ga2Ni structure.

abc: 4.977 4.977 10.989
angles: 90.00 90.00 90.00
Space group I4/mmm (No. 139)
Symmetry-distinct sites (fractional):
Th1 0.000 0.000 0.000 [2 per cell]
Mg1 0.000 0.500 0.250 [4 per cell]
Ga1 0.000 0.000 0.297 [4 per cell]
Ni1 0.000 0.000 0.500 [2 per cell]

Computed properties:
Crystal system: tetragonal
DOS(E_F) (states/eV per atom): 0.679

No. 9
A plane-wave DFT calculation with PBE was carried out for a geometry-optimized ThMgGa2Ni2 structure.

abc: 4.2449 4.2449 6.7899
angles: 90.00 90.00 120.00
Space group P-3m1 (No. 164)
Symmetry-distinct sites (fractional):
Th1 0.0000 0.0000 0.0000 [1 per cell]
Mg1 0.0000 0.0000 0.5000 [1 per cell]
Ga1 0.3333 0.6667 0.3022 [2 per cell]
Ni1 0.3333 0.6667 0.7137 [2 per cell]

Computed properties:
Crystal system: trigonal
DOS(E_F) (states/eV per atom): 0.804

No. 10
A plane-wave DFT calculation with PBE was carried out for a geometry-optimized ThMgGaNi structure.

abc: 6.863 6.863 6.863
angles: 90.00 90.00 90.00
Space group F-43m (No. 216)
Symmetry-distinct sites (fractional):
Th1 0.000 0.000 0.000 [4 per cell]
Mg1 0.000 0.000 0.500 [4 per cell]
Ga1 0.250 0.250 0.250 [4 per cell]
Ni1 0.250 0.250 0.750 [4 per cell]

Computed properties:
Crystal system: cubic
DOS(E_F) (states/eV per atom): 0.646

No. 11
A plane-wave DFT calculation with PBE was carried out for a geometry-optimized ThMgGa2Ni5 structure.

abc: 3.969 3.969 8.876
angles: 90.00 90.00 90.00
Space group P4/mmm (No. 123)
Symmetry-distinct sites (fractional):
Th1 0.000 0.000 0.000 [1 per cell]
Mg1 0.000 0.000 0.500 [1 per cell]
Ga1 0.500 0.500 0.363 [2 per cell]
Ni1 0.000 0.500 0.218 [4 per cell]
Ni2 0.500 0.500 0.000 [1 per cell]

Computed properties:
Crystal system: tetragonal
DOS(E_F) (states/eV per atom): 0.343

No. 12
A plane-wave DFT calculation with PBE was carried out for a geometry-optimized Mg2TlGaNi structure.

abc: 4.949 4.949 4.547
angles: 90.00 90.00 90.00
Space group P4/mmm (No. 123)
Symmetry-distinct sites (fractional):
Mg1 0.000 0.500 0.000 [2 per cell]
Tl1 0.000 0.000 0.500 [1 per cell]
Ga1 0.500 0.500 0.500 [1 per cell]
Ni1 0.500 0.500 0.000 [1 per cell]

Computed properties:
Crystal system: tetragonal
DOS(E_F) (states/eV per atom): 0.399

The records above give, respectively, energy of formation values of -1.0, -0.6, -1.5, -1.0, 2.5, -2.9, -5.2, 1.2, -2.8, -1.2, -2.4, -0.4 eV per formula unit.